w.
PmIn2Ir after structural relaxation, computed with GGA-PBE.

Results
- Fermi-level density of states (states/eV/f.u.) = 2.80
- magnetic moment (Bohr magnetons per cell) = 0.0

Cell: 4.2994 4.2994 4.8520 Å, 90.00 90.00 90.00°
Fractional positions:
Pm 0.0000 0.0000 0.0000
In 0.0000 0.5000 0.5000
In 0.5000 0.0000 0.5000
Ir 0.5000 0.5000 0.0000

---

x.
PmIn2Ir after structural relaxation, computed with GGA-PBE.

Results
- Fermi-level density of states (states/eV/f.u.) = 1.07
- magnetic moment (Bohr magnetons per cell) = 0.0

Cell: 4.9447 4.9447 4.9447 Å, 60.00 60.00 60.00°
Fractional positions:
Pm 0.0000 0.0000 0.0000
In 0.2500 0.2500 0.2500
In 0.7500 0.7500 0.7500
Ir 0.5000 0.5000 0.5000

---

y.
PmIn2Ir after structural relaxation, computed with GGA-PBE.

Results
- Fermi-level density of states (states/eV/f.u.) = 2.01
- magnetic moment (Bohr magnetons per cell) = 0.0

Cell: 16.0436 8.1287 5.6479 Å, 90.00 90.00 90.00°
Fractional positions:
Pm 0.1038 0.2500 0.2407
Pm 0.1408 0.7500 0.4592
Pm 0.3592 0.2500 0.9592
Pm 0.3962 0.7500 0.7407
Pm 0.6038 0.2500 0.2593
Pm 0.6408 0.7500 0.0408
Pm 0.8592 0.2500 0.5408
Pm 0.8962 0.7500 0.7593
In 0.0375 0.0504 0.7484
In 0.0375 0.4496 0.7484
In 0.2142 0.5496 0.9695
In 0.2142 0.9504 0.9695
In 0.2858 0.0496 0.4695
In 0.2858 0.4504 0.4695
In 0.4625 0.5504 0.2484
In 0.4625 0.9496 0.2484
In 0.5375 0.0504 0.7516
In 0.5375 0.4496 0.7516
In 0.7142 0.5496 0.5305
In 0.7142 0.9504 0.5305
In 0.7858 0.0496 0.0305
In 0.7858 0.4504 0.0305
In 0.9625 0.5504 0.2516
In 0.9625 0.9496 0.2516
Ir 0.0707 0.7500 0.9754
Ir 0.1809 0.2500 0.7448
Ir 0.3191 0.7500 0.2448
Ir 0.4293 0.2500 0.4754
Ir 0.5707 0.7500 0.5246
Ir 0.6809 0.2500 0.7552
Ir 0.8191 0.7500 0.2552
Ir 0.9293 0.2500 0.0246

---

z.
PmIn2Ir after structural relaxation, computed with GGA-PBE.

Results
- Fermi-level density of states (states/eV/f.u.) = 3.34
- magnetic moment (Bohr magnetons per cell) = 0.0

Cell: 5.8997 5.8997 5.8997 Å, 45.35 45.35 45.35°
Fractional positions:
Pm 0.0000 0.0000 0.0000
In 0.2203 0.2203 0.2203
In 0.7797 0.7797 0.7797
Ir 0.5000 0.5000 0.5000

---

The data favor y; the next most stable structure lies 19.7 kJ/mol of atoms above it.

---

w.
Pm7In2Ir2 after structural relaxation, computed with GGA-PBE.

Results
- Fermi-level density of states (states/eV/f.u.) = 10.46
- magnetic moment (Bohr magnetons per cell) = 0.0

Cell: 7.0106 7.0106 7.2359 Å, 90.00 90.00 106.63°
Fractional positions:
Pm 0.0000 0.0000 0.0000
Pm 0.0000 0.5000 0.2503
Pm 0.0000 0.5000 0.7497
Pm 0.5000 0.0000 0.2503
Pm 0.5000 0.0000 0.7497
Pm 0.5000 0.5000 0.2444
Pm 0.5000 0.5000 0.7556
In 0.1721 0.1721 0.5000
In 0.8279 0.8279 0.5000
Ir 0.2889 0.7111 0.0000
Ir 0.7111 0.2889 0.0000

---

x.
Pm7In2Ir2 after structural relaxation, computed with GGA-PBE.

Results
- Fermi-level density of states (states/eV/f.u.) = 9.91
- magnetic moment (Bohr magnetons per cell) = 0.0

Cell: 9.1415 9.1415 9.1415 Å, 150.90 69.07 118.91°
Fractional positions:
Pm 0.0000 0.0000 0.0000
Pm 0.2848 0.3919 0.8929
Pm 0.2984 0.6247 0.6736
Pm 0.4989 0.3919 0.1071
Pm 0.5872 0.2066 0.3806
Pm 0.8260 0.2066 0.6194
Pm 0.9511 0.6247 0.3264
In 0.1463 0.9197 0.2266
In 0.6931 0.9197 0.7734
Ir 0.2182 0.7182 0.5000
Ir 0.6589 0.6589 0.0000

---

The data favor x; the next most stable structure lies 0.8 kJ/mol of atoms above it.